RbPmPt4 | PBE | optimized geometry

Cell lengths 5.5517, 5.5517, 5.5517 Å; angles 60.00, 60.00, 60.00 degrees
With the nearest neighbours (Å) after each atom.
Fractional coordinates of all 6 atoms:
1 Pt 0.6252 0.6252 0.6252  6 Pt 2.77-2.78
2 Pt 0.6252 0.1243 0.6252  6 Pt 2.77-2.78
3 Pt 0.6252 0.6252 0.1243  6 Pt 2.77-2.78
4 Pt 0.1243 0.6252 0.6252  6 Pt 2.77-2.78
5 Pm 0.0000 0.0000 0.0000  12 Pt 3.25, 4 Rb 3.40
6 Rb 0.2500 0.2500 0.2500  12 Pt 3.26, 4 Pm 3.40

Results
- space-group type = F-43m (216)

=====

SrTl2Ge2 | PBE | optimized geometry

Cell lengths 4.6825, 4.6825, 7.3550 Å; angles 71.44, 71.44, 90.00 degrees
With the nearest neighbours (Å) after each atom.
Fractional coordinates of all 5 atoms:
1 Ge 0.5934 0.5934 0.8132  1 Ge 2.45
2 Ge 0.4066 0.4066 0.1868  1 Ge 2.45
3 Sr 0.0000 0.0000 0.0000  8 Ge 3.53
4 Tl 0.2500 0.7500 0.5000  4 Ge 3.12, 4 Tl 3.31
5 Tl 0.7500 0.2500 0.5000  4 Ge 3.12, 4 Tl 3.31

Results
- space-group type = I4/mmm (139)

=====

SrMgTa2 | PBE | optimized geometry

Cell lengths 3.1263, 5.1523, 5.5925 Å; angles 90.00, 90.00, 90.00 degrees
With the nearest neighbours (Å) after each atom.
Fractional coordinates of all 4 atoms:
1 Ta 0.0000 0.0000 0.0000  6 Ta 3.01-3.13, 4 Mg 3.20
2 Ta 0.5000 0.5000 0.0000  6 Ta 3.01-3.13, 4 Sr 3.20
3 Sr 0.0000 0.5000 0.5000  4 Mg 3.01, 2 Sr 3.13, 4 Ta 3.20
4 Mg 0.5000 0.0000 0.5000  4 Sr 3.01, 2 Mg 3.13, 4 Ta 3.20

Results
- space-group type = Pmmm (47)

=====

In meV/atom, the energy of formation from the pure elements values for the records above are, in order, -572 -144 820.